A) The following is a DFT calculation (PBE) of a geometry-optimized Mg2CdIn2 structure.

Lattice parameters (Å, degrees): 8.4550 8.4550 3.4389 90.00 90.00 90.00
Sites, in units of the cell vectors:
Mg1 0.1700 0.6700 0.5000
Mg2 0.6700 0.8300 0.5000
Mg3 0.8300 0.3300 0.5000
Mg4 0.3300 0.1700 0.5000
Cd1 0.0000 0.0000 0.0000
Cd2 0.5000 0.5000 0.0000
In1 0.3697 0.8697 0.0000
In2 0.8697 0.6303 0.0000
In3 0.6303 0.1303 0.0000
In4 0.1303 0.3697 0.0000


B) The following is a DFT calculation (PBE) of a geometry-optimized Mg2CdIn2 structure.

Lattice parameters (Å, degrees): 4.4034 4.4034 7.3953 72.68 72.68 90.00
Sites, in units of the cell vectors:
Mg1 0.7500 0.2500 0.5000
Mg2 0.2500 0.7500 0.5000
Cd1 0.0000 0.0000 0.0000
In1 0.3967 0.3967 0.2067
In2 0.6033 0.6033 0.7933


A) comes first in stability; the runner-up is 0.096 eV/atom higher.


A) The following is a DFT calculation (PBE) of a geometry-optimized Mg2CdIn2 structure.

Lattice parameters (Å, degrees): 4.9410 4.9410 11.5557 90.00 90.00 120.00
Sites, in units of the cell vectors:
Mg1 0.6667 0.3333 0.7500
Mg2 0.0000 0.0000 0.0000
Mg3 0.0000 0.0000 0.5000
Mg4 0.3333 0.6667 0.2500
Cd1 0.0000 0.0000 0.2500
Cd2 0.0000 0.0000 0.7500
In1 0.3333 0.6667 0.5998
In2 0.6667 0.3333 0.0998
In3 0.6667 0.3333 0.4002
In4 0.3333 0.6667 0.9002


B) The following is a DFT calculation (PBE) of a geometry-optimized Mg2CdIn2 structure.

Lattice parameters (Å, degrees): 8.6945 8.6945 3.2995 90.00 90.00 90.00
Sites, in units of the cell vectors:
Mg1 0.3706 0.8706 0.0000
Mg2 0.8706 0.6294 0.0000
Mg3 0.6294 0.1294 0.0000
Mg4 0.1294 0.3706 0.0000
Cd1 0.0000 0.0000 0.0000
Cd2 0.5000 0.5000 0.0000
In1 0.1700 0.6700 0.5000
In2 0.6700 0.8300 0.5000
In3 0.8300 0.3300 0.5000
In4 0.3300 0.1700 0.5000


A) comes first in stability; the runner-up is 0.032 eV/atom higher.


A) The following is a DFT calculation (PBE) of a geometry-optimized Mg6CdIn5 structure.

Lattice parameters (Å, degrees): 4.5894 8.6750 7.3397 90.00 71.78 90.00
Sites, in units of the cell vectors:
Mg1 0.8336 0.7542 0.3328
Mg2 0.8336 0.2458 0.3328
Mg3 0.5000 0.2465 0.0000
Mg4 0.5000 0.7535 0.0000
Mg5 0.1664 0.7542 0.6672
Mg6 0.1664 0.2458 0.6672
In1 0.6672 0.5000 0.6656
In2 0.3352 0.0000 0.3296
In3 0.0000 0.5000 0.0000
In4 0.6648 0.0000 0.6704
In5 0.3328 0.5000 0.3344
Cd1 0.0000 0.0000 0.0000


B) The following is a DFT calculation (PBE) of a geometry-optimized Mg6CdIn5 structure.

Lattice parameters (Å, degrees): 9.9704 5.8234 5.7761 59.73 84.19 78.42
Sites, in units of the cell vectors:
Mg1 0.7542 0.0829 0.3313
Mg2 0.2458 0.5858 0.3313
Mg3 0.2459 0.2484 0.0000
Mg4 0.7541 0.7516 0.0000
Mg5 0.7542 0.4142 0.6687
Mg6 0.2458 0.9171 0.6687
Cd1 0.0000 0.0000 0.0000
In1 0.5000 0.1677 0.6646
In2 0.0000 0.3330 0.3340
In3 0.5000 0.5000 0.0000
In4 0.0000 0.6670 0.6660
In5 0.5000 0.8323 0.3355


A) comes first in stability; the runner-up is 0.007 eV/atom higher.


A) The following is a DFT calculation (PBE) of a geometry-optimized MgCd2In5 structure.

Lattice parameters (Å, degrees): 8.1174 8.1174 8.5181 118.46 118.46 90.00
Sites, in units of the cell vectors:
Mg1 0.7500 0.7500 0.5000
Mg2 0.2500 0.2500 0.5000
Cd1 0.1397 0.3603 0.0000
Cd2 0.6397 0.1397 0.0000
Cd3 0.3603 0.8603 0.0000
Cd4 0.8603 0.6397 0.0000
In1 0.4916 0.6838 0.6754
In2 0.8162 0.0084 0.3246
In3 0.0000 0.0000 0.0000
In4 0.5000 0.5000 0.0000
In5 0.1838 0.9916 0.6754
In6 0.6838 0.1838 0.6754
In7 0.9916 0.4916 0.6754
In8 0.3162 0.8162 0.3246
In9 0.0084 0.5084 0.3246
In10 0.5084 0.3162 0.3246


B) The following is a DFT calculation (PBE) of a geometry-optimized MgCd2In5 structure.

Lattice parameters (Å, degrees): 6.4673 6.4678 6.4685 105.20 105.19 118.43
Sites, in units of the cell vectors:
Mg1 0.7777 0.7774 0.0000
Cd1 0.2779 0.7782 0.4999
Cd2 0.7780 0.2783 0.5001
In1 0.2779 0.2783 0.5003
In2 0.2783 0.7777 0.0000
In3 0.7779 0.2779 0.0000
In4 0.7776 0.7780 0.4997
In5 0.2776 0.2773 0.0000


B) comes first in stability; the runner-up is 0.009 eV/atom higher.


A) The following is a DFT calculation (PBE) of a geometry-optimized Mg6CdIn2 structure.

Lattice parameters (Å, degrees): 5.2452 4.9713 9.3439 95.43 90.00 121.84
Sites, in units of the cell vectors:
Mg1 0.6682 0.3364 0.9438
Mg2 0.3318 0.6636 0.0562
Mg3 0.0014 0.0028 0.1687
Mg4 0.3322 0.6645 0.3954
Mg5 0.9986 0.9972 0.8313
Mg6 0.6678 0.3355 0.6046
Cd1 0.0000 0.0000 0.5000
In1 0.3353 0.6706 0.7313
In2 0.6647 0.3294 0.2687


B) The following is a DFT calculation (PBE) of a geometry-optimized Mg6CdIn2 structure.

Lattice parameters (Å, degrees): 3.4795 8.2636 8.2645 120.00 90.00 90.00
Sites, in units of the cell vectors:
Mg1 0.5000 0.6310 0.0000
Mg2 0.5000 0.3691 0.3691
Mg3 0.5000 0.0000 0.6309
Mg4 0.0000 0.2854 0.0000
Mg5 0.0000 0.7146 0.7146
Mg6 0.0000 0.0000 0.2854
Cd1 0.5000 0.0000 0.0000
In1 0.0000 0.3334 0.6667
In2 0.0000 0.6667 0.3333


B) comes first in stability; the runner-up is 0.032 eV/atom higher.


A) The following is a DFT calculation (PBE) of a geometry-optimized Mg4Cd2In5 structure.

Lattice parameters (Å, degrees): 3.9827 7.2214 10.0399 97.26 102.65 88.68
Sites, in units of the cell vectors:
Mg1 0.2665 0.1709 0.5537
Mg2 0.9594 0.6836 0.9277
Mg3 0.7335 0.8291 0.4463
Mg4 0.0406 0.3164 0.0723
Cd1 0.4242 0.3605 0.8450
Cd2 0.5758 0.6395 0.1550
In1 0.8105 0.5147 0.6313
In2 0.1895 0.4853 0.3687
In3 0.8715 0.9912 0.7434
In4 0.5000 0.0000 0.0000
In5 0.1285 0.0088 0.2566


B) The following is a DFT calculation (PBE) of a geometry-optimized Mg4Cd2In5 structure.

Lattice parameters (Å, degrees): 3.2387 8.2307 9.9012 96.71 90.00 90.00
Sites, in units of the cell vectors:
Mg1 0.5000 0.7402 0.5701
Mg2 0.5000 0.1884 0.8862
Mg3 0.5000 0.2598 0.4299
Mg4 0.5000 0.8116 0.1138
Cd1 0.0000 0.0808 0.6369
Cd2 0.0000 0.9192 0.3631
In1 0.0000 0.5425 0.3183
In2 0.0000 0.1650 0.1509
In3 0.0000 0.5000 0.0000
In4 0.0000 0.8350 0.8491
In5 0.0000 0.4575 0.6817


B) comes first in stability; the runner-up is 0.069 eV/atom higher.


A) The following is a DFT calculation (PBE) of a geometry-optimized Mg7CdIn12 structure.

Lattice parameters (Å, degrees): 8.0879 8.0879 8.0879 97.09 97.09 97.09
Sites, in units of the cell vectors:
Mg1 0.8645 0.6159 0.9027
Mg2 0.3841 0.0973 0.1355
Mg3 0.0973 0.1355 0.3841
Mg4 0.5000 0.5000 0.5000
Mg5 0.9027 0.8645 0.6159
Mg6 0.6159 0.9027 0.8645
Mg7 0.1355 0.3841 0.0973
Cd1 0.0000 0.0000 0.0000
In1 0.8873 0.2538 0.7591
In2 0.7462 0.2409 0.1127
In3 0.6085 0.1578 0.4791
In4 0.8422 0.5209 0.3915
In5 0.2409 0.1127 0.7462
In6 0.5209 0.3915 0.8422
In7 0.4791 0.6085 0.1578
In8 0.7591 0.8873 0.2538
In9 0.1578 0.4791 0.6085
In10 0.3915 0.8422 0.5209
In11 0.2538 0.7591 0.8873
In12 0.1127 0.7462 0.2409


B) The following is a DFT calculation (PBE) of a geometry-optimized Mg7CdIn12 structure.

Lattice parameters (Å, degrees): 6.0220 10.0878 9.9922 114.12 102.18 100.65
Sites, in units of the cell vectors:
Mg1 0.1239 0.7647 0.0549
Mg2 0.9540 0.0648 0.3027
Mg3 0.6439 0.7092 0.7706
Mg4 0.5000 0.0000 0.0000
Mg5 0.3561 0.2908 0.2294
Mg6 0.0460 0.9352 0.6973
Mg7 0.8761 0.2353 0.9451
Cd1 0.0000 0.0000 0.0000
In1 0.2310 0.5460 0.1689
In2 0.9432 0.1975 0.6324
In3 0.6105 0.7241 0.0833
In4 0.4758 0.0613 0.3543
In5 0.3407 0.3713 0.5547
In6 0.1050 0.6280 0.6996
In7 0.8950 0.3720 0.3004
In8 0.6593 0.6287 0.4453
In9 0.5242 0.9387 0.6457
In10 0.3895 0.2759 0.9167
In11 0.0568 0.8025 0.3676
In12 0.7690 0.4540 0.8311


B) comes first in stability; the runner-up is 0.027 eV/atom higher.


A) The following is a DFT calculation (PBE) of a geometry-optimized Mg2Cd4In structure.

Lattice parameters (Å, degrees): 5.5318 5.5318 8.2311 109.64 109.64 90.00
Sites, in units of the cell vectors:
Mg1 0.6061 0.6061 0.2122
Mg2 0.3939 0.3939 0.7878
Cd1 0.7984 0.7984 0.5968
Cd2 0.2016 0.2016 0.4032
Cd3 0.0000 0.5000 0.0000
Cd4 0.5000 0.0000 0.0000
In1 0.0000 0.0000 0.0000


B) The following is a DFT calculation (PBE) of a geometry-optimized Mg2Cd4In structure.

Lattice parameters (Å, degrees): 6.0248 6.0248 6.0248 119.90 104.52 104.52
Sites, in units of the cell vectors:
Mg1 0.5000 0.2500 0.7500
Mg2 0.5000 0.7500 0.2500
Cd1 0.0000 0.3010 0.6990
Cd2 0.0000 0.6990 0.3010
Cd3 0.6021 0.3010 0.3010
Cd4 0.3979 0.6990 0.6990
In1 0.0000 0.0000 0.0000


B) comes first in stability; the runner-up is 0.330 eV/atom higher.